Below is an optimized crystal structure of Zn6Ag5Pt, with properties calculated at the PBE level.

Calculated values
D(E_F): 4.03 states/eV/cell
total moment: 0.0 μB/cell
ΔE_f: -0.126 eV per atom
space group: C2/m, No. 12

Unit cell a=4.249 b=7.148 c=7.563 alpha=118.20 beta=106.88 gamma=90.00
Sites, in units of the cell vectors:
Zn: 0.161 0.921 0.323
Zn: 0.161 0.402 0.323
Zn: 0.500 0.772 0.000
Ag: 0.324 0.823 0.645
Zn: 0.839 0.598 0.677
Ag: 0.000 0.500 0.000
Ag: 0.676 0.177 0.355
Pt: 0.000 0.000 0.000
Zn: 0.839 0.079 0.677
Zn: 0.500 0.228 0.000
Ag: 0.338 0.339 0.677
Ag: 0.662 0.661 0.323